# 1
Below is a geometry-optimized BeNi2HAu structure, with properties calculated at the PBE-GGA level.

Summary:
Total DFT energy (no corrections) = -4.466 eV per atom

Cell and atoms, written as CIF:
```
data_BeNi2HAu
_cell_length_a 3.575
_cell_length_b 3.575
_cell_length_c 3.893
_cell_angle_alpha 90.00
_cell_angle_beta 90.00
_cell_angle_gamma 90.00
_space_group_name_H-M_alt 'P 4/m m m'
_space_group_IT_number 123
_space_group_name_Hall '-P 4 2'
loop_
_atom_site_label
_atom_site_type_symbol
_atom_site_fract_x
_atom_site_fract_y
_atom_site_fract_z
Be1 Be 0.000 0.000 0.000
Ni1 Ni 0.000 0.500 0.500
H1 H 0.000 0.000 0.500
Au1 Au 0.500 0.500 0.000
```

# 2
Below is a geometry-optimized MgZn2I structure, with properties calculated at the PBE-GGA level.

Summary:
Total DFT energy (no corrections) = -1.107 eV per atom
Energy relative to the lowest polymorph listed for this composition = 265 meV per atom
Formation energy (no corrections) = 0.32 eV/atom

Cell and atoms, written as CIF:
```
data_MgZn2I
_cell_length_a 7.472
_cell_length_b 7.472
_cell_length_c 7.472
_cell_angle_alpha 90.00
_cell_angle_beta 90.00
_cell_angle_gamma 90.00
_space_group_name_H-M_alt 'F m -3 m'
_space_group_IT_number 225
_space_group_name_Hall '-F 4 2 3'
loop_
_atom_site_label
_atom_site_type_symbol
_atom_site_fract_x
_atom_site_fract_y
_atom_site_fract_z
Mg1 Mg 0.000 0.000 0.000
Zn1 Zn 0.250 0.250 0.250
I1 I 0.000 0.000 0.500
```